(1)
# K3NaCd2H8 | Alexandria via LeMat-Bulk | PBE-GGA | optimized geometry
data_K3NaCd2H8
_chemical_formula_sum 'K3 Na1 Cd2 H8'
_cell_length_a 6.0026
_cell_length_b 6.0026
_cell_length_c 7.7256
_cell_angle_alpha 90.00
_cell_angle_beta 90.00
_cell_angle_gamma 120.00
_space_group_name_H-M_alt 'P -3 m 1'
_space_group_IT_number 164
_space_group_name_Hall '-P 3 2"'
loop_
_atom_site_label
_atom_site_type_symbol
_atom_site_fract_x
_atom_site_fract_y
_atom_site_fract_z
K1 K 0.0000 0.0000 0.0000
K2 K 0.3333 0.6667 0.6602
Na1 Na 0.0000 0.0000 0.5000
Cd1 Cd 0.3333 0.6667 0.2169
H1 H 0.1703 0.3407 0.3156
H2 H 0.3333 0.6667 0.9868
# DFT total energy	-2.529	eV per atom
# Fermi-level density of states	0.00	states/eV/f.u.

---

(2)
# KNaCdH4 | Alexandria via LeMat-Bulk | PBE-GGA | optimized geometry
data_KNaCdH4
_chemical_formula_sum 'K2 Na2 Cd2 H8'
_cell_length_a 5.136
_cell_length_b 5.787
_cell_length_c 7.698
_cell_angle_alpha 90.00
_cell_angle_beta 101.84
_cell_angle_gamma 90.00
_space_group_name_H-M_alt 'P 1 21/m 1'
_space_group_IT_number 11
loop_
_space_group_symop_operation_xyz
'x,y,z'
'-x,-y,-z'
'-x,y+1/2,-z'
'x,-y+1/2,z'
loop_
_atom_site_label
_atom_site_type_symbol
_atom_site_fract_x
_atom_site_fract_y
_atom_site_fract_z
K1 K 0.189 0.250 0.118
Na1 Na 0.208 0.750 0.534
Cd1 Cd 0.389 0.250 0.719
H1 H 0.248 0.750 0.236
H2 H 0.262 0.250 0.473
H3 H 0.267 0.516 0.801
# DFT total energy	-2.507	eV per atom
# Fermi-level density of states	0.00	states/eV/f.u.

---

(3)
# K2NbCdH | Alexandria via LeMat-Bulk | PBE-GGA | optimized geometry
data_K2NbCdH
_chemical_formula_sum 'K2 Nb1 Cd1 H1'
_cell_length_a 6.883
_cell_length_b 6.883
_cell_length_c 3.691
_cell_angle_alpha 90.00
_cell_angle_beta 90.00
_cell_angle_gamma 90.00
_space_group_name_H-M_alt 'P 4/m m m'
_space_group_IT_number 123
_space_group_name_Hall '-P 4 2'
loop_
_atom_site_label
_atom_site_type_symbol
_atom_site_fract_x
_atom_site_fract_y
_atom_site_fract_z
K1 K 0.000 0.500 0.000
Nb1 Nb 0.000 0.000 0.500
Cd1 Cd 0.500 0.500 0.000
H1 H 0.500 0.500 0.500
# DFT total energy	-2.261	eV per atom
# Fermi-level density of states	3.00	states/eV/f.u.

---

Q: Number 3 is which compound?
A: K2NbCdH

---

Q: Look up the Fermi-level density of states of the first one.
A: 0.00 states/eV/f.u.

---

Q: Number 1 is which compound?
A: K3NaCd2H8

---

Q: Look up the DFT total energy of the second one.
A: -2.507 eV per atom